No. 1
FeSb2Cl: PBEsol geometry, meta-GGA SCAN.

Geometry as POSCAR:
```
FeSb2Cl
1.0
3.8627 -3.7657 0.0000
3.8627 3.7657 0.0000
-0.9651 0.0000 2.9214
Fe Sb Cl
1 2 1
direct
0.0000 0.0000 0.0000
0.0000 0.5000 0.0000
0.5000 0.0000 0.0000
0.5000 0.5000 0.0000
```

Computed properties:
offset from the most stable computed form	0.178	eV/atom
formation energy (no corrections)	0.22	eV/atom

No. 2
Y2BiO2: PBEsol geometry, meta-GGA SCAN.

Geometry as POSCAR:
```
Y2BiO2
1.0
-1.9190 1.9190 6.6752
1.9190 -1.9190 6.6752
1.9190 1.9190 -6.6752
Y Bi O
2 1 2
direct
0.1680 0.1680 0.0000
0.8320 0.8320 0.0000
0.5000 0.5000 0.0000
0.2500 0.7500 0.5000
0.7500 0.2500 0.5000
```

Computed properties:
formation energy (no corrections)	-2.97	eV/atom

No. 3
LiLaAg2: PBEsol geometry, meta-GGA SCAN.

Geometry as POSCAR:
```
LiLaAg2
1.0
3.2576 0.0000 0.0000
0.0000 4.9638 0.0000
-0.0145 0.0000 5.3748
Li La Ag
1 1 2
direct
0.0000 0.0000 0.0000
0.0048 0.5000 0.5881
0.5035 0.0000 0.3992
0.5038 0.5000 0.0915
```

Computed properties:
formation energy	-15.1	kJ/mol of atoms

No. 4
KTc3Bi: PBEsol geometry, meta-GGA SCAN.

Geometry as POSCAR:
```
KTc3Bi
1.0
5.1272 0.0000 0.0000
0.0000 5.1272 0.0000
0.0000 0.0000 5.1272
K Tc Bi
1 3 1
direct
0.0000 0.0000 0.0000
0.0000 0.5000 0.5000
0.5000 0.0000 0.5000
0.5000 0.5000 0.0000
0.5000 0.5000 0.5000
```

Computed properties:
formation energy	204.3	kJ/mol of atoms

No. 5
NbCd2Br: PBEsol geometry, meta-GGA SCAN.

Geometry as POSCAR:
```
NbCd2Br
1.0
0.0000 3.5433 3.5433
3.5433 0.0000 3.5433
3.5433 3.5433 0.0000
Nb Cd Br
1 2 1
direct
0.0000 0.0000 0.0000
0.2500 0.2500 0.2500
0.7500 0.7500 0.7500
0.5000 0.5000 0.5000
```

Computed properties:
formation energy (no corrections)	0.78	eV/atom

No. 6
LaAlHg2H: PBEsol geometry, meta-GGA SCAN.

Geometry as POSCAR:
```
LaAlHg2H
1.0
4.7622 0.0000 0.0000
0.0000 4.7622 0.0000
0.0000 0.0000 4.4165
La Al Hg H
1 1 2 1
direct
0.0000 0.0000 0.0000
0.5000 0.5000 0.0000
0.0000 0.5000 0.5000
0.5000 0.0000 0.5000
0.0000 0.0000 0.5000
```

no.,E_tot (eV per atom)
1,-24.9364
2,-32.3192
3,-27.2139
4,-36.3007
5,-27.5725
6,-38.3608